BaHfCo2O6 after structural relaxation, computed with GGA+U.

a b c (Å): 7.4667 7.7322 7.6256
angles (deg): 90.00 90.00 90.00
Closest atoms and distances in Å follow each position.
Space group Cmmm (No. 65)
Asymmetric unit:
Ba1 0.0000 0.2439 0.0000 [4 per cell]  6 O 2.59-2.79
Hf1 0.0000 0.2264 0.5000 [4 per cell]  6 O 2.16-2.36
Co1 0.2457 0.5000 0.2613 [8 per cell]  6 O 1.91-2.00
O1 0.0000 0.0000 0.2391 [4 per cell]  2 Co 1.91
O2 0.0000 0.5000 0.3344 [4 per cell]  2 Co 1.92
O3 0.1691 0.0000 0.5000 [4 per cell]  2 Co 1.93, 2 Hf 2.16
O4 0.2242 0.5000 0.0000 [4 per cell]  2 Co 2.00
O5 0.2500 0.2500 0.3131 [8 per cell]  2 Co 1.97

Values from the calculation:
For the total energy, the calculation gives -281.3 eV/cell. The value obtained for the total magnetic moment is 16.104 Bohr magnetons per cell.